DFT (PBE) results for PaIrRuO6 after structural relaxation.

a = 5.2582 Å, b = 5.2582 Å, c = 9.1536 Å
α = 90.00°, β = 90.00°, γ = 120.00°
With the nearest neighbours (Å) after each atom.
Fractional positions:
Pa 0.3333 0.6667 0.2500  6 O 2.19
Pa 0.6667 0.3333 0.7500  6 O 2.19
Ir 0.6667 0.3333 0.2500  6 O 2.07
Ir 0.3333 0.6667 0.7500  6 O 2.07
Ru 0.0000 0.0000 0.0000  6 O 2.03
Ru 0.0000 0.0000 0.5000  6 O 2.03
O 0.6870 0.6682 0.1226  1 Ru 2.03, 1 Ir 2.07, 1 Pa 2.19
O 0.9812 0.3130 0.1226  1 Ru 2.03, 1 Ir 2.07, 1 Pa 2.19
O 0.3130 0.9812 0.6226  1 Ru 2.03, 1 Ir 2.07, 1 Pa 2.19
O 0.0188 0.6870 0.8774  1 Ru 2.03, 1 Ir 2.07, 1 Pa 2.19
O 0.3318 0.3130 0.3774  1 Ru 2.03, 1 Ir 2.07, 1 Pa 2.19
O 0.9812 0.6682 0.3774  1 Ru 2.03, 1 Ir 2.07, 1 Pa 2.19
O 0.6682 0.9812 0.8774  1 Ru 2.03, 1 Ir 2.07, 1 Pa 2.19
O 0.6870 0.0188 0.3774  1 Ru 2.03, 1 Ir 2.07, 1 Pa 2.19
O 0.0188 0.3318 0.6226  1 Ru 2.03, 1 Ir 2.07, 1 Pa 2.19
O 0.3318 0.0188 0.1226  1 Ru 2.03, 1 Ir 2.07, 1 Pa 2.19
O 0.6682 0.6870 0.6226  1 Ru 2.03, 1 Ir 2.07, 1 Pa 2.19
O 0.3130 0.3318 0.8774  1 Ru 2.03, 1 Ir 2.07, 1 Pa 2.19

Properties
Calculated density = 9.4 Mg/m³
Uncorrected energy = -146.44 eV for the cell shown
D(E_F) = 7.912 states/eV/cell
Volume = 219.18 Å³ per cell

DFT (PBE) results for SmNi3Sb3 after structural relaxation.

a = 6.8727 Å, b = 6.8727 Å, c = 6.8727 Å
α = 90.00°, β = 90.00°, γ = 90.00°
With the nearest neighbours (Å) after each atom.
Fractional positions:
Sb 0.0000 0.2500 0.5000  4 Ni 2.43
Sb 0.0000 0.7500 0.5000  4 Ni 2.43
Sb 0.5000 0.0000 0.7500  4 Ni 2.43
Sb 0.7500 0.5000 0.0000  4 Ni 2.43
Sb 0.5000 0.0000 0.2500  4 Ni 2.43
Sb 0.2500 0.5000 0.0000  4 Ni 2.43
Sm 0.5000 0.5000 0.5000  12 Ni 3.84, 12 Sb 3.84
Sm 0.0000 0.0000 0.0000  12 Sb 3.84, 12 Ni 3.84
Ni 0.2500 0.0000 0.5000  4 Sb 2.43
Ni 0.0000 0.5000 0.2500  4 Sb 2.43
Ni 0.5000 0.7500 0.0000  4 Sb 2.43
Ni 0.7500 0.0000 0.5000  4 Sb 2.43
Ni 0.0000 0.5000 0.7500  4 Sb 2.43
Ni 0.5000 0.2500 0.0000  4 Sb 2.43

Properties
Calculated density = 7.1 Mg/m³
Uncorrected energy = -70.52 eV for the cell shown
D(E_F) = 10.120 states/eV/cell
Volume = 324.62 Å³ per cell

- Among the records above, which one has the lowest uncorrected energy?
  PaIrRuO6